CaGa5Pd3 (PBE, relaxed); calculated density = 6.931 g/cm3; M_tot = 0.0 μB/f.u.; energy relative to the elements = -532 meV per atom; density of states at the Fermi level = 6.2 states/eV/cell
1.0
-1.2210 -2.1614 -3.1423
5.1071 -3.4700 2.9539
-8.5368 -6.1435 7.5429
Ga Ca Pd
10 2 6
Cartesian
-1.7112 -6.4884 2.5760
0.0000 0.0000 0.0000
2.5991 -4.8617 2.3340
-4.2684 -3.0718 3.7714
1.5525 -4.1396 -0.3077
-6.2033 -7.6352 7.6621
-2.9395 -5.2865 4.7784
-7.2498 -6.9132 5.0205
-5.5585 -5.6960 3.5260
0.9078 -6.0788 3.8284
-3.8486 -8.8909 5.0591
-0.8021 -2.8839 2.2953
-3.4717 -4.7825 2.0868
-0.1204 -2.3707 -0.8743
-4.5303 -9.4041 8.2287
-1.1790 -6.9924 5.2676
0.3808 -5.7796 1.2757
-5.0315 -5.9952 6.0788